1.
A geometry-optimized K2Np3HgO12 structure, computed with PBE.

Computed properties:
- Formation energy from raw total energies: -2.2497 eV/atom
- SG: R-3m (166)

```
data_K2Np3HgO12
_chemical_formula_sum 'K2 Np3 Hg1 O12'
_symmetry_space_group_name_H-M 'P 1'
_symmetry_Int_Tables_number 1
_cell_length_a 7.605
_cell_length_b 7.605
_cell_length_c 7.605
_cell_angle_alpha 63.74
_cell_angle_beta 63.74
_cell_angle_gamma 63.74
loop_
_symmetry_equiv_pos_as_xyz
'x,y,z'
loop_
_atom_site_label
_atom_site_type_symbol
_atom_site_fract_x
_atom_site_fract_y
_atom_site_fract_z
K1 K 0.636 0.636 0.636
K2 K 0.364 0.364 0.364
Np1 Np 0.500 0.000 0.000
Np2 Np 0.000 0.500 0.000
Np3 Np 0.000 0.000 0.500
Hg1 Hg 0.000 0.000 0.000
O1 O 0.303 0.303 0.923
O2 O 0.909 0.909 0.366
O3 O 0.366 0.909 0.909
O4 O 0.923 0.303 0.303
O5 O 0.909 0.366 0.909
O6 O 0.303 0.923 0.303
O7 O 0.697 0.697 0.077
O8 O 0.091 0.091 0.634
O9 O 0.634 0.091 0.091
O10 O 0.077 0.697 0.697
O11 O 0.091 0.634 0.091
O12 O 0.697 0.077 0.697
```


2.
A geometry-optimized Tl2Sb structure, computed with PBE.

Computed properties:
- Polymorph energy (0 for the lowest one): 0.117 eV/atom
- Formation energy from raw total energies: 0.0978 eV/atom
- SG: Pa-3 (205)

```
data_Tl2Sb
_chemical_formula_sum 'Tl8 Sb4'
_symmetry_space_group_name_H-M 'P 1'
_symmetry_Int_Tables_number 1
_cell_length_a 7.544
_cell_length_b 7.544
_cell_length_c 7.544
_cell_angle_alpha 90.00
_cell_angle_beta 90.00
_cell_angle_gamma 90.00
loop_
_symmetry_equiv_pos_as_xyz
'x,y,z'
loop_
_atom_site_label
_atom_site_type_symbol
_atom_site_fract_x
_atom_site_fract_y
_atom_site_fract_z
Sb1 Sb 0.000 0.000 0.000
Sb2 Sb 0.500 0.500 0.000
Sb3 Sb 0.500 0.000 0.500
Sb4 Sb 0.000 0.500 0.500
Tl1 Tl 0.620 0.620 0.380
Tl2 Tl 0.380 0.380 0.620
Tl3 Tl 0.120 0.880 0.620
Tl4 Tl 0.880 0.120 0.380
Tl5 Tl 0.380 0.120 0.120
Tl6 Tl 0.620 0.880 0.880
Tl7 Tl 0.880 0.380 0.880
Tl8 Tl 0.120 0.620 0.120
```


3.
A geometry-optimized Mg2ZrGa structure, computed with PBE.

Computed properties:
- ΔE_f: 0.6 eV per formula unit
- SG: R-3m (166)

```
data_Mg2ZrGa
_chemical_formula_sum 'Mg2 Zr1 Ga1'
_symmetry_space_group_name_H-M 'P 1'
_symmetry_Int_Tables_number 1
_cell_length_a 3.083
_cell_length_b 3.083
_cell_length_c 10.693
_cell_angle_alpha 81.71
_cell_angle_beta 81.71
_cell_angle_gamma 60.00
loop_
_symmetry_equiv_pos_as_xyz
'x,y,z'
loop_
_atom_site_label
_atom_site_type_symbol
_atom_site_fract_x
_atom_site_fract_y
_atom_site_fract_z
Mg1 Mg 0.095 0.095 0.714
Mg2 Mg 0.905 0.905 0.286
Ga1 Ga 0.500 0.500 0.500
Zr1 Zr 0.000 0.000 0.000
```


4.
A geometry-optimized NaSr4Ca7 structure, computed with PBE.

Computed properties:
- Polymorph energy (0 for the lowest one): 0.008 eV/atom
- ΔE_f: 0.4 eV per formula unit
- SG: P-3m1 (164)

```
data_NaSr4Ca7
_chemical_formula_sum 'Na1 Sr4 Ca7'
_symmetry_space_group_name_H-M 'P 1'
_symmetry_Int_Tables_number 1
_cell_length_a 4.022
_cell_length_b 4.022
_cell_length_c 39.316
_cell_angle_alpha 90.00
_cell_angle_beta 90.00
_cell_angle_gamma 120.00
loop_
_symmetry_equiv_pos_as_xyz
'x,y,z'
loop_
_atom_site_label
_atom_site_type_symbol
_atom_site_fract_x
_atom_site_fract_y
_atom_site_fract_z
Na1 Na 0.000 0.000 0.500
Sr1 Sr 0.667 0.333 0.085
Sr2 Sr 0.333 0.667 0.915
Sr3 Sr 0.667 0.333 0.336
Sr4 Sr 0.333 0.667 0.664
Ca1 Ca 0.000 0.000 0.000
Ca2 Ca 0.667 0.333 0.579
Ca3 Ca 0.333 0.667 0.421
Ca4 Ca 0.667 0.333 0.829
Ca5 Ca 0.333 0.667 0.171
Ca6 Ca 0.000 0.000 0.251
Ca7 Ca 0.000 0.000 0.749
```


5.
A geometry-optimized Al2CuAg2 structure, computed with PBE.

Computed properties:
- Polymorph energy (0 for the lowest one): 0.063 eV/atom
- ΔE_f: 0.7 eV per formula unit
- SG: P4/mbm (127)

```
data_Al2CuAg2
_chemical_formula_sum 'Al4 Cu2 Ag4'
_symmetry_space_group_name_H-M 'P 1'
_symmetry_Int_Tables_number 1
_cell_length_a 7.693
_cell_length_b 7.693
_cell_length_c 2.853
_cell_angle_alpha 90.00
_cell_angle_beta 90.00
_cell_angle_gamma 90.00
loop_
_symmetry_equiv_pos_as_xyz
'x,y,z'
loop_
_atom_site_label
_atom_site_type_symbol
_atom_site_fract_x
_atom_site_fract_y
_atom_site_fract_z
Cu1 Cu 0.000 0.000 0.000
Cu2 Cu 0.500 0.500 0.000
Ag1 Ag 0.368 0.868 0.000
Ag2 Ag 0.868 0.632 0.000
Ag3 Ag 0.632 0.132 0.000
Ag4 Ag 0.132 0.368 0.000
Al1 Al 0.170 0.670 0.500
Al2 Al 0.670 0.830 0.500
Al3 Al 0.830 0.330 0.500
Al4 Al 0.330 0.170 0.500
```


6.
A geometry-optimized Zr4ZnFe structure, computed with PBE.

Computed properties:
- Polymorph energy (0 for the lowest one): 0.733 eV/atom
- ΔE_f: 3.5 eV per formula unit
- SG: F-43m (216)

```
data_Zr4ZnFe
_chemical_formula_sum 'Zr4 Zn1 Fe1'
_symmetry_space_group_name_H-M 'P 1'
_symmetry_Int_Tables_number 1
_cell_length_a 5.652
_cell_length_b 5.652
_cell_length_c 5.652
_cell_angle_alpha 60.00
_cell_angle_beta 60.00
_cell_angle_gamma 60.00
loop_
_symmetry_equiv_pos_as_xyz
'x,y,z'
loop_
_atom_site_label
_atom_site_type_symbol
_atom_site_fract_x
_atom_site_fract_y
_atom_site_fract_z
Zr1 Zr 0.375 0.874 0.375
Zr2 Zr 0.874 0.375 0.375
Zr3 Zr 0.375 0.375 0.874
Zr4 Zr 0.375 0.375 0.375
Zn1 Zn 0.000 0.000 0.000
Fe1 Fe 0.750 0.750 0.750
```


7.
A geometry-optimized ScZnRu structure, computed with PBE.

Computed properties:
- ΔE_f: 1.2 eV per formula unit
- SG: F-43m (216)

```
data_ScZnRu
_chemical_formula_sum 'Sc1 Zn1 Ru1'
_symmetry_space_group_name_H-M 'P 1'
_symmetry_Int_Tables_number 1
_cell_length_a 4.341
_cell_length_b 4.341
_cell_length_c 4.341
_cell_angle_alpha 60.00
_cell_angle_beta 60.00
_cell_angle_gamma 60.00
loop_
_symmetry_equiv_pos_as_xyz
'x,y,z'
loop_
_atom_site_label
_atom_site_type_symbol
_atom_site_fract_x
_atom_site_fract_y
_atom_site_fract_z
Ru1 Ru 0.500 0.500 0.500
Sc1 Sc 0.750 0.750 0.750
Zn1 Zn 0.000 0.000 0.000
```


8.
A geometry-optimized CeGdHf2 structure, computed with PBE.

Computed properties:
- ΔE_f: 0.8 eV per formula unit
- SG: P4/mmm (123)

```
data_CeGdHf2
_chemical_formula_sum 'Ce1 Gd1 Hf2'
_symmetry_space_group_name_H-M 'P 1'
_symmetry_Int_Tables_number 1
_cell_length_a 4.838
_cell_length_b 4.613
_cell_length_c 4.613
_cell_angle_alpha 90.00
_cell_angle_beta 90.00
_cell_angle_gamma 90.00
loop_
_symmetry_equiv_pos_as_xyz
'x,y,z'
loop_
_atom_site_label
_atom_site_type_symbol
_atom_site_fract_x
_atom_site_fract_y
_atom_site_fract_z
Gd1 Gd 0.500 0.000 0.000
Hf1 Hf 0.000 0.000 0.500
Hf2 Hf 0.000 0.500 0.000
Ce1 Ce 0.500 0.500 0.500
```


9.
A geometry-optimized YCdAs2 structure, computed with PBE.

Computed properties:
- ΔE_f: -2.2 eV per formula unit
- SG: Pmmm (47)

```
data_YCdAs2
_chemical_formula_sum 'Y1 Cd1 As2'
_symmetry_space_group_name_H-M 'P 1'
_symmetry_Int_Tables_number 1
_cell_length_a 3.906
_cell_length_b 3.865
_cell_length_c 7.428
_cell_angle_alpha 58.60
_cell_angle_beta 90.00
_cell_angle_gamma 90.00
loop_
_symmetry_equiv_pos_as_xyz
'x,y,z'
loop_
_atom_site_label
_atom_site_type_symbol
_atom_site_fract_x
_atom_site_fract_y
_atom_site_fract_z
Y1 Y 0.500 0.750 0.750
As1 As 0.000 0.049 0.950
As2 As 0.000 0.451 0.550
Cd1 Cd 0.500 0.250 0.250
```


10.
A geometry-optimized TaCdSe4 structure, computed with PBE.

Computed properties:
- Formation energy from raw total energies: 0.8925 eV/atom
- SG: F-43m (216)

```
data_TaCdSe4
_chemical_formula_sum 'Ta1 Cd1 Se4'
_symmetry_space_group_name_H-M 'P 1'
_symmetry_Int_Tables_number 1
_cell_length_a 5.667
_cell_length_b 5.667
_cell_length_c 5.667
_cell_angle_alpha 60.00
_cell_angle_beta 60.00
_cell_angle_gamma 60.00
loop_
_symmetry_equiv_pos_as_xyz
'x,y,z'
loop_
_atom_site_label
_atom_site_type_symbol
_atom_site_fract_x
_atom_site_fract_y
_atom_site_fract_z
Ta1 Ta 0.750 0.750 0.750
Cd1 Cd 0.000 0.000 0.000
Se1 Se 0.873 0.376 0.376
Se2 Se 0.376 0.376 0.873
Se3 Se 0.376 0.873 0.376
Se4 Se 0.376 0.376 0.376
```


Repeat the ninth record exactly.
A geometry-optimized YCdAs2 structure, computed with PBE.

Computed properties:
- ΔE_f: -2.2 eV per formula unit
- SG: Pmmm (47)

```
data_YCdAs2
_chemical_formula_sum 'Y1 Cd1 As2'
_symmetry_space_group_name_H-M 'P 1'
_symmetry_Int_Tables_number 1
_cell_length_a 3.906
_cell_length_b 3.865
_cell_length_c 7.428
_cell_angle_alpha 58.60
_cell_angle_beta 90.00
_cell_angle_gamma 90.00
loop_
_symmetry_equiv_pos_as_xyz
'x,y,z'
loop_
_atom_site_label
_atom_site_type_symbol
_atom_site_fract_x
_atom_site_fract_y
_atom_site_fract_z
Y1 Y 0.500 0.750 0.750
As1 As 0.000 0.049 0.950
As2 As 0.000 0.451 0.550
Cd1 Cd 0.500 0.250 0.250
```